No. 1
Material: CaGdRh2
Method: DFT, PBE
State: optimized geometry

Geometry as extended XYZ:
```
4
Lattice="-2.2221 2.0109 -1.6990 -2.1326 -2.6786 -0.3812 -3.0954 1.6162 5.9613" Properties=species:S:1:pos:R:3 pbc="T T T"
Ca -3.7251 0.4742 1.9406
Gd -2.1773 -0.3339 -1.0401
Rh -2.3675 1.2361 4.5594
Rh -0.7280 0.3801 1.4019
```

Calculated values
The value obtained for the formation energy is -2.426 eV per formula unit. For the size of the total moment, the calculation gives 7.083 μB/f.u. The value obtained for the energy is -33.2 eV/f.u.

***

No. 2
Material: Tb2SmThSb4
Method: DFT, PBE
State: optimized geometry

Geometry as extended XYZ:
```
8
Lattice="4.4542 0.0000 0.0000 0.0000 7.6856 -0.1480 0.0000 2.7090 7.2089" Properties=species:S:1:pos:R:3 pbc="T T T"
Tb 0.0000 2.7090 7.2089
Tb 2.2271 1.3545 3.6044
Sm 2.2271 3.8428 -0.0740
Th 0.0000 5.1973 3.5305
Sb 0.0001 7.8318 5.2877
Sb 4.4542 2.5628 1.7732
Sb 2.2271 6.4820 1.6669
Sb 2.2271 3.9126 5.3939
```

Calculated values
For the formation energy (no corrections), the calculation gives -1.112 eV/atom. For the size of the total moment, the calculation gives 0.000 μB/f.u. The value obtained for the energy is -46.8 eV/f.u.

***

No. 3
Material: La2Sn2Pd
Method: DFT, PBE
State: optimized geometry

Geometry as extended XYZ:
```
10
Lattice="8.0474 0.0000 0.0000 0.0000 8.0474 0.0000 0.0000 0.0000 4.8765" Properties=species:S:1:pos:R:3 pbc="T T T"
Sn 1.0009 5.0246 2.4382
Sn 5.0246 7.0465 2.4382
Sn 7.0465 3.0228 2.4382
Sn 3.0228 1.0009 2.4382
Pd 0.0000 0.0000 0.0000
Pd 4.0237 4.0237 0.0000
La 2.6006 6.6243 0.0000
La 6.6243 5.4468 0.0000
La 5.4468 1.4231 0.0000
La 1.4231 2.6006 0.0000
```

Calculated values
The value obtained for the formation energy is -2.245 eV per formula unit. For the size of the total moment, the calculation gives 0.000 μB/f.u. The value obtained for the energy is -25.3 eV/f.u.

***

No. 4
Material: CaAc2SmSb4
Method: DFT, PBE
State: optimized geometry

Geometry as extended XYZ:
```
8
Lattice="4.6897 0.0000 0.0000 0.0000 7.9631 -0.0977 0.0000 2.8599 7.6183" Properties=species:S:1:pos:R:3 pbc="T T T"
Ca 2.3449 3.9815 -0.0489
Ac 0.0000 2.8599 7.6183
Ac 2.3449 1.4299 3.8092
Sm 0.0001 5.4114 3.7603
Sb 0.0001 7.9964 5.6584
Sb 4.6897 2.8266 1.8622
Sb 2.3449 6.5736 1.8995
Sb 2.3449 4.2493 5.6211
```

Calculated values
For the formation energy (no corrections), the calculation gives -1.063 eV/atom. For the size of the total moment, the calculation gives 0.000 μB/f.u. The value obtained for the energy is -39.9 eV/f.u.

***

No. 5
Material: TaCd3Pt12
Method: DFT, PBE
State: optimized geometry

Geometry as extended XYZ:
```
16
Lattice="4.0237 0.0000 0.0000 0.0000 4.0237 0.0000 0.0000 0.0000 16.1540" Properties=species:S:1:pos:R:3 pbc="T T T"
Ta 0.0000 0.0000 0.0000
Cd 0.0000 0.0000 4.0259
Cd 0.0000 0.0000 8.0770
Cd 0.0000 0.0000 12.1281
Pt 2.0119 2.0119 0.0000
Pt 2.0119 2.0119 3.9863
Pt 2.0119 2.0119 8.0770
Pt 2.0119 2.0119 12.1676
Pt 2.0119 0.0000 1.9106
Pt 2.0119 0.0000 6.0437
Pt 2.0119 0.0000 10.1103
Pt 2.0119 0.0000 14.2434
Pt 0.0000 2.0119 1.9106
Pt 0.0000 2.0119 6.0437
Pt 0.0000 2.0119 10.1103
Pt 0.0000 2.0119 14.2434
```

Calculated values
The value obtained for the formation energy is -5.818 eV per formula unit. For the size of the total moment, the calculation gives 0.000 μB/f.u. The value obtained for the energy is -92.9 eV/f.u.

***

No. 6
Material: LiZn2AgN
Method: DFT, PBE
State: optimized geometry

Geometry as extended XYZ:
```
5
Lattice="4.1166 0.0000 0.0000 0.0000 4.1174 0.0000 0.0000 0.0000 4.1166" Properties=species:S:1:pos:R:3 pbc="T T T"
Zn 0.0000 0.0000 2.0583
Zn 2.0583 0.0000 0.0000
Li 0.0000 2.0587 0.0000
Ag 2.0583 2.0587 2.0583
N 0.0000 0.0000 0.0000
```

Calculated values
For the formation energy (no corrections), the calculation gives 0.063 eV/atom. For the size of the total moment, the calculation gives 0.000 μB/f.u. The value obtained for the energy is -15.3 eV/f.u.

***

No. 7
Material: TaCo2WC
Method: DFT, PBE
State: optimized geometry

Geometry as extended XYZ:
```
5
Lattice="-0.1114 -3.7513 0.8826 3.0275 -0.7326 -2.7313 2.6293 0.5716 2.7612" Properties=species:S:1:pos:R:3 pbc="T T T"
C 0.0000 0.0000 0.0000
Co 1.3146 0.2858 1.3806
Co -0.0557 -1.8757 0.4413
W 1.5137 -0.3663 -1.3656
Ta 2.7727 -1.9562 0.4563
```

Calculated values
The value obtained for the formation energy is 0.045 eV per formula unit. For the size of the total moment, the calculation gives 1.013 μB/f.u. The value obtained for the energy is -48.2 eV/f.u.

***

No. 8
Material: PmSmCd4
Method: DFT, PBE
State: optimized geometry

Geometry as extended XYZ:
```
12
Lattice="-2.5597 1.9135 -3.9303 -3.8011 -5.7456 -0.3235 -7.7068 0.6586 5.3390" Properties=species:S:1:pos:R:3 pbc="T T T"
Pm -4.3255 0.8839 -1.6498
Pm -9.7421 -4.0574 2.7349
Sm -6.2179 -1.9938 -1.8192
Sm -7.8497 -1.1797 2.9043
Cd -6.8559 -3.7862 0.9860
Cd -4.9217 -4.9690 -0.8477
Cd -9.1021 -2.2417 -0.0637
Cd -11.0408 -1.0690 1.7717
Cd -7.2117 0.6127 0.0991
Cd -4.9655 -0.9318 1.1488
Cd -9.1459 1.7955 1.9328
Cd -3.0268 -2.1045 -0.6866
```

Calculated values
The value obtained for the formation energy is -2.041 eV per formula unit. For the size of the total moment, the calculation gives 0.157 μB/f.u. The value obtained for the energy is -15.2 eV/f.u.

***

Question: size of the total moment of number 1 (CaGdRh2)?
Answer: 7.083 μB/f.u.

***

Question: Among the records above, which one has the lowest energy?
Answer: TaCd3Pt12